## w
## TiNi4Pt2 (PBE)

Data for a relaxed structure of TiNi4Pt2.

Unit cell a=6.670 b=6.670 c=4.303 alpha=90.00 beta=90.00 gamma=90.00
Atoms (fractional coordinates):
Ti1 0.000 0.000 0.000
Ti2 0.500 0.500 0.500
Ni1 0.099 0.361 0.000
Ni2 0.139 0.599 0.500
Ni3 0.361 0.099 0.000
Ni4 0.401 0.861 0.500
Ni5 0.599 0.139 0.500
Ni6 0.639 0.901 0.000
Ni7 0.861 0.401 0.500
Ni8 0.901 0.639 0.000
Pt1 0.191 0.191 0.500
Pt2 0.309 0.691 0.000
Pt3 0.691 0.309 0.000
Pt4 0.809 0.809 0.500

Summary:
M_tot (μB/cell): 0.9

---

## x
## TiNi4Pt2 (PBE)

Data for a relaxed structure of TiNi4Pt2.

Unit cell a=5.733 b=5.733 c=5.733 alpha=133.05 beta=133.05 gamma=68.58
Atoms (fractional coordinates):
Ti1 0.000 0.000 0.000
Ni1 0.000 0.500 0.500
Ni2 0.250 0.750 0.500
Ni3 0.500 0.000 0.500
Ni4 0.750 0.250 0.500
Pt1 0.360 0.360 0.000
Pt2 0.640 0.640 0.000

Summary:
M_tot (μB/cell): 0.0

---

It is w that is the most stable of them.